No. 1
The following is a GGA-PBE calculation of an optimized crystal structure of HfCrTeN2, from the Alexandria database.

**Excess energy over the best structure of this formula in the dataset**: 169 meV per atom
**Formation energy without anion corrections**: 0.5776 eV per atom
**Size of the total moment**: 0.27 μB/f.u.

Cell: 3.875 3.875 5.154 Å, 90.00 90.00 90.00°
Sites, in units of the cell vectors:
1 Hf 0.000 0.000 0.000
2 Cr 0.500 0.500 0.500
3 Te 0.500 0.500 0.000
4 N 0.000 0.500 0.500
5 N 0.500 0.000 0.500

=====

No. 2
The following is a GGA-PBE calculation of an optimized crystal structure of HfCrTeN2, from the Alexandria database.

**Excess energy over the best structure of this formula in the dataset**: 0 meV per atom
**Formation energy without anion corrections**: 0.4082 eV per atom
**Size of the total moment**: 3.19 μB/f.u.

Cell: 4.113 4.113 5.994 Å, 90.00 90.00 90.00°
Sites, in units of the cell vectors:
1 Hf 0.000 0.000 0.000
2 Cr 0.500 0.500 0.500
3 Te 0.000 0.000 0.500
4 N 0.000 0.500 0.000
5 N 0.500 0.000 0.000

=====

No. 3
The following is a GGA-PBE calculation of an optimized crystal structure of HfTh2Cr2N6, from the Alexandria database.

**Formation energy without anion corrections**: -0.9169 eV per atom
**Size of the total moment**: 0.04 μB/f.u.

Cell: 6.599 6.599 6.599 Å, 48.82 48.82 48.82°
Sites, in units of the cell vectors:
1 Hf 0.000 0.000 0.000
2 Th 0.212 0.212 0.212
3 Th 0.788 0.788 0.788
4 Cr 0.394 0.394 0.394
5 Cr 0.606 0.606 0.606
6 N 0.227 0.744 0.744
7 N 0.256 0.256 0.773
8 N 0.256 0.773 0.256
9 N 0.744 0.227 0.744
10 N 0.744 0.744 0.227
11 N 0.773 0.256 0.256

=====

No. 4
The following is a GGA-PBE calculation of an optimized crystal structure of YHfCr2N, from the Alexandria database.

**Formation energy without anion corrections**: 0.0228 eV per atom
**Size of the total moment**: 0.00 μB/f.u.

Cell: 4.001 4.001 4.693 Å, 90.00 90.00 90.00°
Sites, in units of the cell vectors:
1 Y 0.000 0.000 0.000
2 Hf 0.500 0.500 0.000
3 Cr 0.000 0.500 0.500
4 Cr 0.500 0.000 0.500
5 N 0.000 0.000 0.500

=====

No. 5
The following is a GGA-PBE calculation of an optimized crystal structure of Hf2ZnCrN, from the Alexandria database.

**Formation energy without anion corrections**: -0.6581 eV per atom
**Size of the total moment**: 0.00 μB/f.u.

Cell: 4.487 4.487 3.700 Å, 90.00 90.00 90.00°
Sites, in units of the cell vectors:
1 Hf 0.000 0.500 0.000
2 Hf 0.500 0.000 0.000
3 Zn 0.000 0.000 0.500
4 Cr 0.500 0.500 0.500
5 N 0.500 0.500 0.000

=====

No. 6
The following is a GGA-PBE calculation of an optimized crystal structure of NaHfCr2, from the Alexandria database.

**ΔH_f (0 K)**: 87 kJ per mole of atoms
**Excess energy over the best structure of this formula in the dataset**: 0 meV per atom
**Size of the total moment**: 6.81 μB/f.u.

Cell: 4.720 4.720 4.720 Å, 60.00 60.00 60.00°
Sites, in units of the cell vectors:
1 Na 0.000 0.000 0.000
2 Hf 0.500 0.500 0.500
3 Cr 0.250 0.250 0.250
4 Cr 0.750 0.750 0.750